Entry 1
{"formula": "ZrGaB4", "functional": "PBE-GGA", "state": "optimized geometry", "cell": [[-0.8315, 0.5302, 2.9413], [-1.4900, -2.1481, -1.6699], [4.7678, -5.0647, 2.2608]], "species": ["B", "B", "B", "B", "Zr", "Ga"], "fractional_positions": [[0.6667, 0.3333, 0.7493], [0.3333, 0.6667, 0.2507], [0.3333, 0.6667, 0.7493], [0.6667, 0.3333, 0.2507], [0.0000, 0.0000, 0.5000], [0.0000, 0.0000, 0.0000]], "space_group": "No. 191", "magmom_total_mub_per_fu": 0.01}


Entry 2
{"formula": "ZrGaB4", "functional": "PBE-GGA", "state": "optimized geometry", "cell": [[-2.8366, -3.5693, -1.5654], [-4.1076, 0.8151, 2.3873], [2.9194, 1.8986, -3.3330]], "species": ["B", "B", "B", "B", "Zr", "Ga"], "fractional_positions": [[0.5857, 0.2547, 0.3310], [0.9238, 0.2547, 0.6690], [0.0762, 0.7453, 0.3310], [0.4143, 0.7453, 0.6690], [0.0000, 0.0000, 0.0000], [0.5000, 0.5000, 0.0000]], "space_group": "No. 71", "magmom_total_mub_per_fu": 0.00}


Which is most stable, and by how much? entry 2, by 55 meV per atom.


Entry 1
{"formula": "GdB", "functional": "PBE-GGA", "state": "optimized geometry", "cell": [[2.2096, -3.8272, 0.0000], [2.2096, 3.8272, 0.0000], [0.0000, 0.0000, 5.4740]], "species": ["B", "B", "Gd", "Gd"], "fractional_positions": [[0.3333, 0.6667, 0.4377], [0.0000, 0.0000, 0.9377], [0.3333, 0.6667, 0.9373], [0.0000, 0.0000, 0.4373]], "space_group": "No. 194", "magmom_total_mub_per_fu": 1.55}


Entry 2
{"formula": "GdB", "functional": "PBE-GGA", "state": "optimized geometry", "cell": [[0.0000, 2.8911, 2.8911], [2.8911, 0.0000, 2.8911], [2.8911, 2.8911, 0.0000]], "species": ["B", "Gd"], "fractional_positions": [[0.0000, 0.0000, 0.0000], [0.2500, 0.2500, 0.2500]], "space_group": "No. 216", "magmom_total_mub_per_fu": 0.06}


Entry 3
{"formula": "GdB", "functional": "PBE-GGA", "state": "optimized geometry", "cell": [[3.0800, -0.4239, 2.2379], [0.0642, 1.5793, 3.4894], [-0.1859, -2.2246, 3.1130]], "species": ["B", "Gd"], "fractional_positions": [[0.0000, 0.0000, 0.0000], [0.5000, 0.5000, 0.5000]], "space_group": "No. 225", "magmom_total_mub_per_fu": 0.35}


Which is most stable, and by how much? entry 3, by 329 meV per atom.


Entry 1
{"formula": "GdHgB4", "functional": "PBE-GGA", "state": "optimized geometry", "cell": [[-0.3014, 3.1889, 0.3872], [-2.6260, -1.8323, -0.3956], [-0.4881, -1.0041, 7.8905]], "species": ["B", "B", "B", "B", "Hg", "Gd"], "fractional_positions": [[0.6667, 0.3333, 0.7431], [0.3333, 0.6667, 0.7431], [0.3333, 0.6667, 0.2569], [0.6667, 0.3333, 0.2569], [0.0000, 0.0000, 0.0000], [0.0000, 0.0000, 0.5000]], "space_group": "No. 191", "magmom_total_mub_per_fu": 0.01}


Entry 2
{"formula": "GdHgB4", "functional": "PBE-GGA", "state": "optimized geometry", "cell": [[-1.6071, 2.6643, 4.2281], [1.6071, -2.6643, 4.2281], [1.6071, 2.6643, -4.2281]], "species": ["B", "B", "B", "B", "Gd", "Hg"], "fractional_positions": [[0.0514, 0.7338, 0.3176], [0.5838, 0.2662, 0.3176], [0.9486, 0.2662, 0.6824], [0.4162, 0.7338, 0.6824], [0.0000, 0.0000, 0.0000], [0.5000, 0.5000, 0.0000]], "space_group": "No. 71", "magmom_total_mub_per_fu": 0.00}


Which is most stable, and by how much? entry 2, by 226 meV per atom.


Entry 1
{"formula": "GdHoNi8B2", "functional": "PBE-GGA", "state": "optimized geometry", "cell": [[4.9883, 0.0000, 0.0000], [-2.4942, 4.3200, 0.0000], [0.0000, 0.0000, 6.9787]], "species": ["Ni", "Ni", "Ni", "Ni", "Ni", "Ni", "Ni", "Ni", "Gd", "B", "B", "Ho"], "fractional_positions": [[0.3333, 0.6667, 0.5000], [0.5000, 0.0000, 0.7915], [0.5000, 0.5000, 0.2085], [0.0000, 0.5000, 0.7915], [0.5000, 0.5000, 0.7915], [0.6667, 0.3333, 0.5000], [0.0000, 0.5000, 0.2085], [0.5000, 0.0000, 0.2085], [0.0000, 0.0000, 0.0000], [0.6667, 0.3333, 0.0000], [0.3333, 0.6667, 0.0000], [0.0000, 0.0000, 0.5000]], "space_group": "No. 191", "magmom_total_mub_per_fu": 0.00}


Entry 2
{"formula": "GdHoNi8B2", "functional": "PBE-GGA", "state": "optimized geometry", "cell": [[-4.5632, -0.8313, 1.8319], [3.9754, -0.2515, 3.0005], [-0.6588, 6.7954, 1.4426]], "species": ["Ni", "Ni", "Ni", "Ni", "Ni", "Ni", "Ni", "Ni", "B", "B", "Ho", "Gd"], "fractional_positions": [[0.6667, 0.3333, 0.5000], [0.0000, 0.5000, 0.2068], [0.5000, 0.0000, 0.7932], [0.0000, 0.5000, 0.7932], [0.3333, 0.6667, 0.5000], [0.5000, 0.0000, 0.2068], [0.5000, 0.5000, 0.7932], [0.5000, 0.5000, 0.2068], [0.6667, 0.3333, 0.0000], [0.3333, 0.6667, 0.0000], [0.0000, 0.0000, 0.0000], [0.0000, 0.0000, 0.5000]], "space_group": "No. 191", "magmom_total_mub_per_fu": 0.01}


Which is most stable, and by how much? entry 2, by 11 meV per atom.


Entry 1
{"formula": "GdBIr", "functional": "PBE-GGA", "state": "optimized geometry", "cell": [[0.0000, 2.9383, 2.9383], [2.9383, 0.0000, 2.9383], [2.9383, 2.9383, 0.0000]], "species": ["B", "Ir", "Gd"], "fractional_positions": [[0.0000, 0.0000, 0.0000], [0.7500, 0.7500, 0.7500], [0.2500, 0.2500, 0.2500]], "space_group": "No. 216", "magmom_total_mub_per_fu": 0.00}


Entry 2
{"formula": "GdBIr", "functional": "PBE-GGA", "state": "optimized geometry", "cell": [[2.1640, 1.2494, 3.5339], [-2.1640, 1.2494, 3.5339], [0.0000, -2.4988, 3.5339]], "species": ["Ir", "Gd", "B"], "fractional_positions": [[0.0000, 0.0000, 0.0000], [0.2500, 0.2500, 0.2500], [0.7500, 0.7500, 0.7500]], "space_group": "No. 216", "magmom_total_mub_per_fu": 0.00}


Which is most stable, and by how much? entry 1, by 414 meV per atom.


Entry 1
{"formula": "LiGdB", "functional": "PBE-GGA", "state": "optimized geometry", "cell": [[0.0000, 2.9990, 2.9990], [2.9990, 0.0000, 2.9990], [2.9990, 2.9990, 0.0000]], "species": ["Gd", "Li", "B"], "fractional_positions": [[0.2500, 0.2500, 0.2500], [0.7500, 0.7500, 0.7500], [0.0000, 0.0000, 0.0000]], "space_group": "No. 216", "magmom_total_mub_per_fu": 0.01}


Entry 2
{"formula": "LiGdB", "functional": "PBE-GGA", "state": "optimized geometry", "cell": [[-2.2482, -2.2958, 2.8216], [-3.1547, 1.8404, 2.2242], [-4.0716, -1.0118, -0.8271]], "species": ["B", "Li", "Gd"], "fractional_positions": [[0.2500, 0.2500, 0.2500], [0.7500, 0.7500, 0.7500], [0.0000, 0.0000, 0.0000]], "space_group": "No. 216", "magmom_total_mub_per_fu": 0.01}


Entry 3
{"formula": "LiGdB", "functional": "PBE-GGA", "state": "optimized geometry", "cell": [[0.0000, 2.9160, 2.9160], [2.9160, 0.0000, 2.9160], [2.9160, 2.9160, 0.0000]], "species": ["Gd", "B", "Li"], "fractional_positions": [[0.7500, 0.7500, 0.7500], [0.2500, 0.2500, 0.2500], [0.0000, 0.0000, 0.0000]], "space_group": "No. 216", "magmom_total_mub_per_fu": 0.00}


Which is most stable, and by how much? entry 1, by 391 meV per atom.


Entry 1
{"formula": "LiGdB4", "functional": "PBE-GGA", "state": "optimized geometry", "cell": [[-1.8983, -0.9934, 2.4241], [3.0677, 0.8422, 0.5886], [-1.8188, 5.9238, 1.0033]], "species": ["Li", "B", "B", "B", "B", "Gd"], "fractional_positions": [[0.0000, 0.0000, 0.5000], [0.6667, 0.3333, 0.3086], [0.3333, 0.6667, 0.6914], [0.6667, 0.3333, 0.6914], [0.3333, 0.6667, 0.3086], [0.0000, 0.0000, 0.0000]], "space_group": "No. 191", "magmom_total_mub_per_fu": 0.00}


Entry 2
{"formula": "LiGdB4", "functional": "PBE-GGA", "state": "optimized geometry", "cell": [[-4.4164, -2.0891, 1.1039], [-3.2233, 3.7765, -0.6606], [3.2168, -3.0047, -2.3900]], "species": ["Gd", "B", "B", "B", "B", "Li"], "fractional_positions": [[0.0000, 0.0000, 0.0000], [0.0694, 0.7450, 0.3244], [0.9306, 0.2550, 0.6756], [0.4206, 0.7450, 0.6756], [0.5794, 0.2550, 0.3244], [0.5000, 0.5000, 0.0000]], "space_group": "No. 71", "magmom_total_mub_per_fu": 0.00}


Which is most stable, and by how much? entry 2, by 34 meV per atom.


Entry 1
{"formula": "GdB4Mo", "functional": "PBE-GGA", "state": "optimized geometry", "cell": [[-1.5864, 2.7283, 3.5757], [1.5864, -2.7283, 3.5757], [1.5864, 2.7283, -3.5757]], "species": ["B", "B", "B", "B", "Gd", "Mo"], "fractional_positions": [[0.0844, 0.7468, 0.3377], [0.4091, 0.7468, 0.6623], [0.5909, 0.2532, 0.3377], [0.9156, 0.2532, 0.6623], [0.5000, 0.5000, 0.0000], [0.0000, 0.0000, 0.0000]], "space_group": "No. 71", "magmom_total_mub_per_fu": 0.00}


Entry 2
{"formula": "GdB4Mo", "functional": "PBE-GGA", "state": "optimized geometry", "cell": [[6.0459, 0.0000, 0.0000], [0.0000, 11.6910, 0.0000], [0.0000, 0.0000, 3.6405]], "species": ["Gd", "Gd", "Gd", "Gd", "B", "B", "B", "B", "B", "B", "B", "B", "B", "B", "B", "B", "B", "B", "B", "B", "Mo", "Mo", "Mo", "Mo"], "fractional_positions": [[0.8733, 0.8499, 0.0000], [0.1267, 0.1501, 0.0000], [0.3733, 0.6501, 0.0000], [0.6267, 0.3499, 0.0000], [0.8662, 0.0323, 0.5000], [0.7859, 0.1861, 0.5000], [0.2859, 0.3139, 0.5000], [0.1139, 0.5471, 0.5000], [0.5243, 0.8072, 0.5000], [0.7141, 0.6861, 0.5000], [0.3861, 0.0471, 0.5000], [0.9757, 0.3072, 0.5000], [0.6139, 0.9529, 0.5000], [0.6338, 0.5323, 0.5000], [0.1338, 0.9677, 0.5000], [0.0243, 0.6928, 0.5000], [0.3662, 0.4677, 0.5000], [0.2141, 0.8139, 0.5000], [0.4757, 0.1928, 0.5000], [0.8861, 0.4529, 0.5000], [0.8709, 0.5834, 0.0000], [0.1291, 0.4166, 0.0000], [0.3709, 0.9166, 0.0000], [0.6291, 0.0834, 0.0000]], "space_group": "No. 55", "magmom_total_mub_per_fu": 0.00}


Which is most stable, and by how much? entry 2, by 200 meV per atom.


Entry 1
{"formula": "PrGdNi8B2", "functional": "PBE-GGA", "state": "optimized geometry", "cell": [[5.0575, 0.0000, 0.0000], [-2.5287, 4.3799, 0.0000], [0.0000, 0.0000, 6.9878]], "species": ["Gd", "Ni", "Ni", "Ni", "Ni", "Ni", "Ni", "Ni", "Ni", "B", "B", "Pr"], "fractional_positions": [[0.0000, 0.0000, 0.0000], [0.0000, 0.5000, 0.2915], [0.5000, 0.5000, 0.2915], [0.5000, 0.0000, 0.2915], [0.5000, 0.0000, 0.7085], [0.5000, 0.5000, 0.7085], [0.6667, 0.3333, 0.0000], [0.3333, 0.6667, 0.0000], [0.0000, 0.5000, 0.7085], [0.3333, 0.6667, 0.5000], [0.6667, 0.3333, 0.5000], [0.0000, 0.0000, 0.5000]], "space_group": "No. 191", "magmom_total_mub_per_fu": 0.01}


Entry 2
{"formula": "PrGdNi8B2", "functional": "PBE-GGA", "state": "optimized geometry", "cell": [[-0.7753, 4.6107, -1.9035], [0.3414, -3.9801, -3.0862], [-6.9175, -0.9652, 0.4797]], "species": ["Ni", "Ni", "Ni", "Ni", "Ni", "Ni", "Ni", "Ni", "B", "B", "Pr", "Gd"], "fractional_positions": [[0.5000, 0.5000, 0.2954], [0.0000, 0.5000, 0.7046], [0.5000, 0.5000, 0.7046], [0.0000, 0.5000, 0.2954], [0.6667, 0.3333, 0.0000], [0.5000, 0.0000, 0.7046], [0.3333, 0.6667, 0.0000], [0.5000, 0.0000, 0.2954], [0.3333, 0.6667, 0.5000], [0.6667, 0.3333, 0.5000], [0.0000, 0.0000, 0.0000], [0.0000, 0.0000, 0.5000]], "space_group": "No. 191", "magmom_total_mub_per_fu": 0.00}


Which is most stable, and by how much? entry 2, by 32 meV per atom.


Entry 1
{"formula": "Gd2B2O5", "functional": "PBE-GGA", "state": "optimized geometry", "cell": [[6.7550, 0.0000, 0.0000], [0.0000, 3.5260, 0.0000], [0.0000, 0.0000, 3.5260]], "species": ["O", "O", "O", "O", "O", "B", "B", "Gd", "Gd"], "fractional_positions": [[0.2467, 0.0000, 0.5000], [0.7533, 0.5000, 0.0000], [0.7533, 0.0000, 0.5000], [0.5000, 0.5000, 0.5000], [0.2467, 0.5000, 0.0000], [0.7381, 0.5000, 0.5000], [0.2619, 0.5000, 0.5000], [0.0000, 0.0000, 0.0000], [0.5000, 0.0000, 0.0000]], "space_group": "No. 123", "magmom_total_mub_per_fu": 0.00}


Entry 2
{"formula": "Gd2B2O5", "functional": "PBE-GGA", "state": "optimized geometry", "cell": [[-7.7892, -1.9615, -4.1234], [0.7939, -3.5284, 0.1787], [-1.6502, -0.2084, 3.2164]], "species": ["O", "O", "O", "O", "O", "Gd", "Gd", "B", "B"], "fractional_positions": [[0.1226, 0.5000, 0.0000], [0.8774, 0.0000, 0.5000], [0.5000, 0.5000, 0.5000], [0.1226, 0.0000, 0.5000], [0.8774, 0.5000, 0.0000], [0.7459, 0.5000, 0.5000], [0.2541, 0.5000, 0.5000], [0.5000, 0.0000, 0.0000], [0.0000, 0.0000, 0.0000]], "space_group": "No. 123", "magmom_total_mub_per_fu": 1.23}


Which is most stable, and by how much? entry 1, by 1168 meV per atom.


Entry 1
{"formula": "GdB4Os", "functional": "PBE-GGA", "state": "optimized geometry", "cell": [[-0.6872, 1.2790, 4.5416], [-4.7674, 0.0783, -0.0089], [3.6583, -3.0257, -0.4432]], "species": ["B", "B", "B", "B", "Os", "Gd"], "fractional_positions": [[0.5839, 0.2495, 0.3344], [0.4161, 0.7505, 0.6656], [0.9150, 0.2495, 0.6656], [0.0850, 0.7505, 0.3344], [0.0000, 0.0000, 0.0000], [0.5000, 0.5000, 0.0000]], "space_group": "No. 71", "magmom_total_mub_per_fu": 0.03}


Entry 2
{"formula": "GdB4Os", "functional": "PBE-GGA", "state": "optimized geometry", "cell": [[3.2298, 0.0000, 0.0000], [-1.6149, 2.7971, 0.0000], [0.0000, 0.0000, 6.8335]], "species": ["Os", "Gd", "B", "B", "B", "B"], "fractional_positions": [[0.0000, 0.0000, 0.0000], [0.0000, 0.0000, 0.5000], [0.6667, 0.3333, 0.7855], [0.3333, 0.6667, 0.7855], [0.6667, 0.3333, 0.2145], [0.3333, 0.6667, 0.2145]], "space_group": "No. 191", "magmom_total_mub_per_fu": 0.56}


Entry 3
{"formula": "GdB4Os", "functional": "PBE-GGA", "state": "optimized geometry", "cell": [[-5.8247, -0.7861, 1.1589], [-1.2440, -5.6153, -10.0611], [0.7433, -3.0957, 1.6359]], "species": ["B", "B", "B", "B", "B", "B", "B", "B", "B", "B", "B", "B", "B", "B", "B", "B", "Gd", "Gd", "Gd", "Gd", "Os", "Os", "Os", "Os"], "fractional_positions": [[0.0257, 0.6908, 0.5000], [0.4743, 0.1908, 0.5000], [0.5257, 0.8092, 0.5000], [0.2122, 0.8146, 0.5000], [0.8878, 0.4536, 0.5000], [0.6369, 0.5303, 0.5000], [0.8631, 0.0303, 0.5000], [0.2878, 0.3146, 0.5000], [0.6122, 0.9536, 0.5000], [0.3631, 0.4697, 0.5000], [0.1122, 0.5464, 0.5000], [0.7878, 0.1854, 0.5000], [0.1369, 0.9697, 0.5000], [0.7122, 0.6854, 0.5000], [0.3878, 0.0464, 0.5000], [0.9743, 0.3092, 0.5000], [0.1279, 0.1502, 0.0000], [0.6279, 0.3498, 0.0000], [0.8721, 0.8498, 0.0000], [0.3721, 0.6502, 0.0000], [0.3599, 0.9070, 0.0000], [0.8599, 0.5930, 0.0000], [0.1401, 0.4070, 0.0000], [0.6401, 0.0930, 0.0000]], "space_group": "No. 55", "magmom_total_mub_per_fu": 0.00}


Which is most stable, and by how much? entry 3, by 458 meV per atom.